Model one:
DFT (PBE-GGA) results for a geometry-optimized ZrMn3Tc structure.

V in Å³ per cell: 92
N(E_F) in states/eV per atom: 0.8355
Magnetization in μB/atom: 1.278
SG: No. 221

Unit cell a=4.5123 b=4.5123 c=4.5123 alpha=90.00 beta=90.00 gamma=90.00
Closest atoms and distances in Å follow each position.
Fractional positions:
Zr (0.0000, 0.0000, 0.0000)  12 Mn 3.19
Mn (0.0000, 0.5000, 0.5000)  2 Tc 2.26
Mn (0.5000, 0.0000, 0.5000)  2 Tc 2.26
Mn (0.5000, 0.5000, 0.0000)  2 Tc 2.26
Tc (0.5000, 0.5000, 0.5000)  6 Mn 2.26



Model two:
DFT (PBE-GGA) results for a geometry-optimized ZrMn3Tc structure.

V in Å³ per cell: 86
N(E_F) in states/eV per atom: 1.8386
Magnetization in μB/atom: 0.629
SG: No. 221

Unit cell a=4.4083 b=4.4083 c=4.4083 alpha=90.00 beta=90.00 gamma=90.00
Closest atoms and distances in Å follow each position.
Fractional positions:
Zr (0.0000, 0.0000, 0.0000)  6 Mn 2.20
Mn (0.0000, 0.0000, 0.5000)  2 Zr 2.20
Mn (0.0000, 0.5000, 0.0000)  2 Zr 2.20
Mn (0.5000, 0.0000, 0.0000)  2 Zr 2.20
Tc (0.5000, 0.5000, 0.5000)  12 Mn 3.12



It is model one that is the most stable of them.